(1)
# Y3RhO6

Crystalline Y3RhO6 at its relaxed geometry (PBE, Alexandria via LeMat-Bulk).

Properties
* total DFT energy (no corrections): -508.2 eV/cell
* M_tot: 0.0000 μB/atom
* calculated volume: 845 Å³/cell

a b c (Å): 9.5431 9.5431 10.7175
angles (deg): 90.00 90.00 120.00
Space group R-3 (No. 148, hexagonal axes)
Symmetry-distinct sites (fractional):
Y 0.0437 0.2663 0.1991 (multiplicity 18)
Rh 0.0000 0.0000 0.0000 (multiplicity 3)
Rh 0.0000 0.0000 0.5000 (multiplicity 3)
O 0.0291 0.1883 0.8836 (multiplicity 18)
O 0.0292 0.2079 0.4030 (multiplicity 18)


(2)
# LaRu2N

Crystalline LaRu2N at its relaxed geometry (PBE, Alexandria via LeMat-Bulk).

Properties
* total DFT energy (no corrections): -130.2 eV/cell
* M_tot: 0.0000 μB/atom
* calculated volume: 278 Å³/cell

a b c (Å): 7.035 7.035 5.621
angles (deg): 90.00 90.00 90.00
Space group I-42d (No. 122)
Symmetry-distinct sites (fractional):
La 0.000 0.000 0.000 (multiplicity 4)
Ru 0.087 0.250 0.625 (multiplicity 8)
N 0.000 0.000 0.500 (multiplicity 4)


(3)
# Pm2TeS5

Crystalline Pm2TeS5 at its relaxed geometry (PBE, Alexandria via LeMat-Bulk).

Properties
* total DFT energy (no corrections): -86.6 eV/cell
* offset from the most stable computed form: 0 meV/atom
* M_tot: 0.0000 μB/atom
* calculated volume: 364 Å³/cell

a b c (Å): 7.906 11.627 3.958
angles (deg): 90.00 90.00 90.00
Space group Pbam (No. 55)
Symmetry-distinct sites (fractional):
Pm 0.034 0.172 0.000 (multiplicity 4)
Te 0.000 0.500 0.500 (multiplicity 2)
S 0.000 0.000 0.500 (multiplicity 2)
S 0.173 0.403 0.000 (multiplicity 4)
S 0.175 0.700 0.500 (multiplicity 4)


(4)
# GaCoN2

Crystalline GaCoN2 at its relaxed geometry (PBE, Alexandria via LeMat-Bulk).

Properties
* total DFT energy (no corrections): -105.5 eV/cell
* M_tot: 0.1898 μB/atom
* calculated volume: 174 Å³/cell

a b c (Å): 4.428 4.428 8.880
angles (deg): 90.00 90.00 90.00
Space group I-42d (No. 122)
Symmetry-distinct sites (fractional):
Ga 0.000 0.000 0.000 (multiplicity 4)
Co 0.000 0.000 0.500 (multiplicity 4)
N 0.232 0.250 0.625 (multiplicity 8)